Here is a geometry-optimized K3FeSe3 structure from Alexandria. Energies are from PBE-GGA.

Its formation energy from raw total energies is -6.2 eV/f.u. The total DFT energy (no corrections) comes out at -4.06 eV per atom. The density of states at the Fermi level comes out at 0.566 states/eV/atom. The calculation puts the offset from the most stable computed form at 0.0 kJ/mol of atoms.

The structure belongs to space group Cmce (No. 64); the cell edges are 19.724, 6.944 and 13.239 Å and the angles 90.00°, 90.00° and 90.00°. The asymmetric unit holds K at (0.000, 0.162, 0.160), K at (0.177, 0.170, 0.870), Fe at (0.084, 0.000, 0.500), Se at (0.000, 0.203, 0.410) and Se at (0.153, 0.173, 0.615).